The following is a DFT calculation (PBE-GGA) of crystalline CeAl4Cu2 at its relaxed geometry.

Results
space-group type	Pnma
M_tot	0.085	μB per atom
E above lowest polymorph	0.0	meV/atom
ΔE_f	-0.361	eV/atom

POSCAR file:
```
CeAl4Cu2
1.0
4.144 0.000 0.000
0.000 6.895 0.000
0.000 0.000 16.994
Cu Al Ce
8 16 4
Direct
0.250 0.694 0.540 Cu
0.750 0.306 0.460 Cu
0.750 0.194 0.960 Cu
0.250 0.806 0.040 Cu
0.250 0.978 0.766 Cu
0.750 0.022 0.234 Cu
0.750 0.478 0.734 Cu
0.250 0.522 0.266 Cu
0.250 0.289 0.696 Al
0.750 0.711 0.304 Al
0.750 0.789 0.804 Al
0.250 0.211 0.196 Al
0.250 0.676 0.689 Al
0.750 0.324 0.311 Al
0.750 0.176 0.811 Al
0.250 0.824 0.189 Al
0.250 0.257 0.536 Al
0.750 0.743 0.464 Al
0.750 0.757 0.964 Al
0.250 0.243 0.036 Al
0.250 0.504 0.409 Al
0.750 0.496 0.591 Al
0.750 0.004 0.091 Al
0.250 0.996 0.909 Al
0.750 0.993 0.620 Ce
0.250 0.007 0.380 Ce
0.250 0.493 0.880 Ce
0.750 0.507 0.120 Ce
```

***

The following is a DFT calculation (PBE-GGA) of crystalline CeAl2Cu at its relaxed geometry.

Results
space-group type	R-3m
M_tot	0.000	μB per atom
ΔE_f	-0.072	eV/atom

POSCAR file:
```
CeAl2Cu
1.0
2.919 0.000 0.000
1.460 2.528 0.000
1.460 0.843 9.618
Cu Ce Al
1 1 2
Direct
0.000 0.000 0.000 Cu
0.500 0.500 0.500 Ce
0.736 0.736 0.791 Al
0.264 0.264 0.209 Al
```

***

The following is a DFT calculation (PBE-GGA) of crystalline Ce3AlCu at its relaxed geometry.

Results
space-group type	C2/m
M_tot	0.123	μB per atom
ΔE_f	-0.135	eV/atom

POSCAR file:
```
Ce3AlCu
1.0
4.243 0.000 -0.959
0.043 5.191 0.190
0.157 1.182 10.563
Ce Al Cu
6 2 2
Direct
0.945 0.742 0.890 Ce
0.055 0.258 0.110 Ce
0.359 0.754 0.718 Ce
0.641 0.246 0.282 Ce
0.170 0.703 0.341 Ce
0.830 0.297 0.659 Ce
0.554 0.797 0.109 Al
0.446 0.203 0.891 Al
0.760 0.854 0.521 Cu
0.240 0.146 0.479 Cu
```

***

The following is a DFT calculation (PBE-GGA) of crystalline CeAl6Cu6 at its relaxed geometry.

Results
space-group type	Immm
M_tot	0.049	μB per atom
ΔE_f	-0.330	eV/atom

POSCAR file:
```
CeAl6Cu6
1.0
-3.675 -3.499 0.268
2.293 -6.181 -1.064
-0.716 -2.467 6.164
Ce Al Cu
1 6 6
Direct
0.000 0.000 0.000 Ce
0.349 0.651 0.651 Al
0.651 0.349 0.349 Al
0.000 0.347 0.653 Al
0.000 0.653 0.347 Al
0.295 0.205 0.205 Al
0.705 0.795 0.795 Al
0.000 0.500 0.000 Cu
0.500 0.500 0.000 Cu
0.000 0.000 0.500 Cu
0.500 0.000 0.500 Cu
0.500 0.768 0.232 Cu
0.500 0.232 0.768 Cu
```

***

The following is a DFT calculation (PBE-GGA) of crystalline CeAl4Cu4 at its relaxed geometry.

Results
space-group type	P4_2/nmc
M_tot	0.084	μB per atom
ΔE_f	-0.278	eV/atom

POSCAR file:
```
CeAl4Cu4
1.0
5.914 0.000 0.000
0.000 5.914 0.000
0.000 0.000 8.442
Ce Al Cu
2 8 8
Direct
0.000 0.000 0.000 Ce
0.500 0.500 0.500 Ce
0.233 0.500 0.896 Al
0.767 0.500 0.896 Al
0.500 0.767 0.104 Al
0.500 0.233 0.104 Al
0.000 0.733 0.396 Al
0.000 0.267 0.396 Al
0.267 0.000 0.604 Al
0.733 0.000 0.604 Al
0.500 0.794 0.810 Cu
0.500 0.206 0.810 Cu
0.794 0.500 0.190 Cu
0.206 0.500 0.190 Cu
0.294 0.000 0.310 Cu
0.706 0.000 0.310 Cu
0.000 0.294 0.690 Cu
0.000 0.706 0.690 Cu
```

***

The following is a DFT calculation (PBE-GGA) of crystalline CeAl2Cu2 at its relaxed geometry.

Results
space-group type	I4/mmm
M_tot	0.062	μB per atom
ΔE_f	-0.363	eV/atom

POSCAR file:
```
CeAl2Cu2
1.0
3.830 0.000 -1.431
-0.535 3.793 -1.431
0.092 0.106 6.087
Ce Al Cu
1 2 2
Direct
0.000 0.000 0.000 Ce
0.750 0.250 0.500 Al
0.250 0.750 0.500 Al
0.615 0.615 0.229 Cu
0.385 0.385 0.771 Cu
```

***

The following is a DFT calculation (PBE-GGA) of crystalline CeAlCu at its relaxed geometry.

Results
space-group type	I4mm
M_tot	0.032	μB per atom
ΔE_f	-0.243	eV/atom

POSCAR file:
```
CeAlCu
1.0
3.042 0.000 0.000
0.000 3.042 0.000
-1.521 -1.521 5.958
Cu Ce Al
1 1 1
Direct
0.691 0.691 0.382 Cu
0.005 0.005 0.010 Ce
0.304 0.304 0.608 Al
```

***

The following is a DFT calculation (PBE-GGA) of crystalline CeAlCu at its relaxed geometry.

Results
space-group type	Fmmm
M_tot	0.332	μB per atom
ΔE_f	-0.150	eV/atom

POSCAR file:
```
CeAlCu
1.0
5.206 0.000 0.000
2.603 4.165 0.000
2.603 0.000 5.283
Cu Ce Al
2 2 2
Direct
0.750 0.500 0.500 Cu
0.250 0.500 0.500 Cu
0.830 0.340 0.000 Ce
0.170 0.660 0.000 Ce
0.673 0.000 0.654 Al
0.327 0.000 0.346 Al
```

***

The following is a DFT calculation (PBE-GGA) of crystalline CeAl2Cu9 at its relaxed geometry.

Results
space-group type	R-3m
M_tot	0.042	μB per atom
ΔE_f	-0.142	eV/atom

POSCAR file:
```
CeAl2Cu9
1.0
4.753 0.000 1.415
2.166 4.231 1.415
0.057 0.035 8.501
Ce Al Cu
1 2 9
Direct
0.000 0.000 0.000 Ce
0.855 0.855 0.434 Al
0.145 0.145 0.566 Al
0.666 0.666 0.002 Cu
0.334 0.334 0.998 Cu
0.500 0.500 0.500 Cu
0.410 0.410 0.262 Cu
0.919 0.410 0.262 Cu
0.410 0.919 0.262 Cu
0.590 0.590 0.738 Cu
0.590 0.081 0.738 Cu
0.081 0.590 0.738 Cu
```

***

The following is a DFT calculation (PBE-GGA) of crystalline CeAl11Cu at its relaxed geometry.

Results
space-group type	C2/m
M_tot	0.000	μB per atom
ΔE_f	-0.150	eV/atom

POSCAR file:
```
CeAl11Cu
1.0
-4.427 2.611 1.292
-5.249 -1.911 -4.303
-3.802 -3.375 4.663
Ce Al Cu
1 11 1
Direct
0.000 0.000 0.000 Ce
0.287 0.224 0.215 Al
0.713 0.776 0.785 Al
0.498 0.776 0.215 Al
0.502 0.224 0.785 Al
0.350 0.645 0.647 Al
0.650 0.355 0.353 Al
0.003 0.355 0.647 Al
0.997 0.645 0.353 Al
0.000 0.500 0.000 Al
0.500 0.000 0.500 Al
0.000 0.000 0.500 Al
0.500 0.500 0.000 Cu
```

***

The following is a DFT calculation (PBE-GGA) of crystalline CeAlCu2 at its relaxed geometry.

Results
space-group type	P4/mmm
M_tot	0.000	μB per atom
ΔE_f	-0.178	eV/atom

POSCAR file:
```
CeAlCu2
1.0
2.962 0.000 0.000
0.000 2.962 0.000
0.000 0.000 7.444
Cu Ce Al
2 1 1
Direct
0.000 0.000 0.802 Cu
0.000 0.000 0.198 Cu
0.500 0.500 0.500 Ce
0.500 0.500 0.000 Al
```

***

The following is a DFT calculation (PBE-GGA) of crystalline CeDyAlCu at its relaxed geometry.

Results
space-group type	F-43m
M_tot	0.194	μB per atom
ΔE_f	-0.178	eV/atom

POSCAR file:
```
CeDyAlCu
1.0
5.079 0.000 0.000
2.540 4.399 0.000
2.540 1.466 4.147
Al Cu Ce Dy
1 1 1 1
Direct
0.500 0.500 0.500 Al
0.000 0.000 0.000 Cu
0.250 0.250 0.250 Ce
0.750 0.750 0.750 Dy
```

***

The following is a DFT calculation (PBE-GGA) of crystalline CeErAlCu at its relaxed geometry.

Results
space-group type	F-43m
M_tot	0.149	μB per atom
ΔE_f	-0.190	eV/atom

POSCAR file:
```
CeErAlCu
1.0
-1.349 -1.738 4.551
3.535 -1.018 3.466
0.469 2.954 4.075
Al Cu Ce Er
1 1 1 1
Direct
0.250 0.250 0.250 Al
0.750 0.750 0.750 Cu
0.000 0.000 0.000 Ce
0.500 0.500 0.500 Er
```

***

The following is a DFT calculation (PBE-GGA) of crystalline Ce2Al3GaCu4 at its relaxed geometry.

Results
space-group type	P-4m2
M_tot	0.118	μB per atom
ΔE_f	-0.356	eV/atom

POSCAR file:
```
Ce2Al3GaCu4
1.0
4.237 0.000 0.000
0.000 4.237 0.000
0.000 0.000 9.990
Ce Al Ga Cu
2 3 1 4
Direct
0.500 0.000 0.246 Ce
0.000 0.500 0.754 Ce
0.000 0.000 0.500 Al
0.500 0.000 0.873 Al
0.000 0.500 0.127 Al
0.500 0.500 0.500 Ga
0.500 0.500 0.000 Cu
0.000 0.000 0.000 Cu
0.500 0.000 0.631 Cu
0.000 0.500 0.369 Cu
```

***

The following is a DFT calculation (PBE-GGA) of crystalline Ce2AlGa4Cu3 at its relaxed geometry.

Results
space-group type	P-4m2
M_tot	0.095	μB per atom
ΔE_f	-0.441	eV/atom

POSCAR file:
```
Ce2AlGa4Cu3
1.0
-1.930 2.967 2.208
-3.678 -1.803 -0.791
0.982 -5.797 8.648
Ce Al Ga Cu
2 1 4 3
Direct
0.500 0.000 0.245 Ce
0.000 0.500 0.755 Ce
0.500 0.500 0.500 Al
0.500 0.500 0.000 Ga
0.000 0.000 0.000 Ga
0.500 0.000 0.642 Ga
0.000 0.500 0.358 Ga
0.000 0.000 0.500 Cu
0.500 0.000 0.871 Cu
0.000 0.500 0.129 Cu
```

***

The following is a DFT calculation (PBE-GGA) of crystalline CeAlGa2Cu at its relaxed geometry.

Results
space-group type	I-4m2
M_tot	0.154	μB per atom
ΔE_f	-0.455	eV/atom

POSCAR file:
```
CeAlGa2Cu
1.0
4.164 0.000 0.000
0.000 4.164 0.000
-2.082 -2.082 5.389
Ce Al Ga Cu
1 1 2 1
Direct
0.000 0.000 0.000 Ce
0.250 0.750 0.500 Al
0.615 0.615 0.231 Ga
0.385 0.385 0.769 Ga
0.750 0.250 0.500 Cu
```

***

The following is a DFT calculation (PBE-GGA) of crystalline CeAlGaCu at its relaxed geometry.

Results
space-group type	R3m
M_tot	0.119	μB per atom
E above lowest polymorph	0.0	meV/atom
ΔE_f	-0.365	eV/atom

POSCAR file:
```
CeAlGaCu
1.0
-2.212 -2.490 -2.502
1.293 -0.720 -3.894
2.494 -5.273 -0.425
Ce Al Ga Cu
1 1 1 1
Direct
0.805 0.805 0.584 Ce
0.597 0.597 0.209 Al
0.019 0.019 0.943 Ga
0.305 0.305 0.086 Cu
```

***

The following is a DFT calculation (PBE-GGA) of crystalline CeAlGaCu6 at its relaxed geometry.

Results
space-group type	Imma
M_tot	0.070	μB per atom
ΔE_f	-0.076	eV/atom

POSCAR file:
```
CeAlGaCu6
1.0
-2.309 4.984 -4.114
-5.225 -1.259 1.407
4.121 2.913 6.940
Ce Al Ga Cu
2 2 2 12
Direct
0.723 0.473 0.447 Ce
0.277 0.527 0.553 Ce
0.500 0.000 0.500 Al
0.000 0.000 0.500 Al
0.500 0.500 0.000 Ga
0.500 0.000 0.000 Ga
0.634 0.884 0.269 Cu
0.003 0.253 0.005 Cu
0.914 0.108 0.214 Cu
0.299 0.605 0.214 Cu
0.299 0.108 0.214 Cu
0.914 0.605 0.214 Cu
0.366 0.116 0.731 Cu
0.997 0.747 0.995 Cu
0.086 0.892 0.786 Cu
0.701 0.395 0.786 Cu
0.701 0.892 0.786 Cu
0.086 0.395 0.786 Cu
```

***

The following is a DFT calculation (PBE-GGA) of crystalline CeAlGaCu at its relaxed geometry.

Results
space-group type	F-43m
M_tot	0.000	μB per atom
E above lowest polymorph	46.4	meV/atom
ΔE_f	-0.318	eV/atom

POSCAR file:
```
CeAlGaCu
1.0
4.738 0.000 0.000
2.369 4.103 0.000
2.369 1.368 3.868
Cu Ga Ce Al
1 1 1 1
Direct
0.250 0.250 0.250 Cu
0.750 0.750 0.750 Ga
0.000 0.000 0.000 Ce
0.500 0.500 0.500 Al
```

***

The following is a DFT calculation (PBE-GGA) of crystalline Ce2Al3Ga4Cu at its relaxed geometry.

Results
space-group type	P-4m2
M_tot	0.186	μB per atom
ΔE_f	-0.398	eV/atom

POSCAR file:
```
Ce2Al3Ga4Cu
1.0
-1.540 3.947 0.554
-1.987 -0.246 -3.774
-8.606 -4.031 4.794
Ce Al Ga Cu
2 3 4 1
Direct
0.500 0.000 0.251 Ce
0.000 0.500 0.749 Ce
0.000 0.000 0.500 Al
0.500 0.000 0.862 Al
0.000 0.500 0.138 Al
0.500 0.500 0.000 Ga
0.000 0.000 0.000 Ga
0.500 0.000 0.630 Ga
0.000 0.500 0.370 Ga
0.500 0.500 0.500 Cu
```

***

The following is a DFT calculation (PBE-GGA) of crystalline Ce2Al4GaCu3 at its relaxed geometry.

Results
space-group type	P-4m2
M_tot	0.094	μB per atom
ΔE_f	-0.404	eV/atom

POSCAR file:
```
Ce2Al4GaCu3
1.0
-3.854 -0.342 1.699
0.999 -3.824 1.495
3.439 4.287 8.666
Ce Al Ga Cu
2 4 1 3
Direct
0.500 0.000 0.250 Ce
0.000 0.500 0.750 Ce
0.500 0.500 0.000 Al
0.000 0.000 0.000 Al
0.500 0.000 0.639 Al
0.000 0.500 0.361 Al
0.500 0.500 0.500 Ga
0.000 0.000 0.500 Cu
0.500 0.000 0.872 Cu
0.000 0.500 0.128 Cu
```

***

The following is a DFT calculation (PBE-GGA) of crystalline CeGdAlCu at its relaxed geometry.

Results
space-group type	F-43m
M_tot	2.062	μB per atom
ΔE_f	-0.178	eV/atom

POSCAR file:
```
CeGdAlCu
1.0
5.105 0.000 0.000
2.552 4.421 0.000
2.552 1.474 4.168
Gd Cu Ce Al
1 1 1 1
Direct
0.250 0.250 0.250 Gd
0.500 0.500 0.500 Cu
0.750 0.750 0.750 Ce
0.000 0.000 0.000 Al
```

***

The following is a DFT calculation (PBE-GGA) of crystalline Ce2AlCu4Ge3 at its relaxed geometry.

Results
space-group type	P-4m2
M_tot	0.080	μB per atom
ΔE_f	-0.491	eV/atom

POSCAR file:
```
Ce2AlCu4Ge3
1.0
-2.716 -2.895 -1.232
3.127 -2.302 -1.483
0.858 -4.637 9.006
Ce Al Cu Ge
2 1 4 3
Direct
0.500 0.000 0.242 Ce
0.000 0.500 0.758 Ce
0.500 0.500 0.500 Al
0.500 0.500 0.000 Cu
0.000 0.000 0.000 Cu
0.500 0.000 0.633 Cu
0.000 0.500 0.367 Cu
0.000 0.000 0.500 Ge
0.500 0.000 0.868 Ge
0.000 0.500 0.132 Ge
```